! K2TlCuF6, single point on PBEsol structure, DFT SCAN; values from VASP
&SYSTEM
  ibrav = 0, nat = 10, ntyp = 4
/
ATOMIC_SPECIES
F 19.00 F.upf
Cu 63.55 Cu.upf
K 39.10 K.upf
Tl 204.38 Tl.upf
ATOMIC_POSITIONS crystal
F 0.733 0.267 0.733
F 0.733 0.267 0.267
F 0.267 0.267 0.733
F 0.267 0.733 0.733
F 0.267 0.733 0.267
F 0.733 0.733 0.267
Cu 0.500 0.500 0.500
K 0.250 0.250 0.250
K 0.750 0.750 0.750
Tl 0.000 0.000 0.000
CELL_PARAMETERS angstrom
-4.116 4.463 0.022
-4.367 0.123 -4.216
-5.750 -1.182 1.550
! **Symmetry**: Fm-3m, No. 225
! **Crystal system**: cubic
! **Magnetization**: 0.471 μB/f.u.
! **Raw formation energy**: -2261 meV/atom
! **Electronic total energy**: -14.81 eV per atom
! **Calculated density**: 4828 kg/m3